Entry from Alexandria: a geometry-optimized ThAlHgAu structure (GGA-PBE).

## Properties
Magnetization ... 0.00 μB per cell
DOS(E_F) ... 1.39 states/eV/f.u.
Crystal system ... cubic
Energy of formation from the pure elements ... -0.39 eV/atom

a b c (Å): 5.060 5.060 5.060
angles (deg): 60.00 60.00 60.00
Atoms (fractional coordinates):
Th 0.000 0.000 0.000
Al 0.500 0.500 0.500
Hg 0.250 0.250 0.250
Au 0.750 0.750 0.750

Entry from Alexandria: a geometry-optimized Tm2Al4HgAu3 structure (GGA-PBE).

## Properties
Magnetization ... 0.00 μB per cell
DOS(E_F) ... 5.37 states/eV/f.u.
Crystal system ... tetragonal
Energy of formation from the pure elements ... -0.56 eV/atom

a b c (Å): 4.282 4.282 10.892
angles (deg): 90.00 90.00 90.00
Atoms (fractional coordinates):
Tm 0.000 0.500 0.248
Tm 0.500 0.000 0.752
Al 0.000 0.000 0.000
Al 0.000 0.500 0.642
Al 0.500 0.000 0.358
Al 0.500 0.500 0.000
Hg 0.000 0.000 0.500
Au 0.000 0.500 0.867
Au 0.500 0.000 0.133
Au 0.500 0.500 0.500

Entry from Alexandria: a geometry-optimized Tm3Al3Hg2Au structure (GGA-PBE).

## Properties
Magnetization ... 0.00 μB per cell
DOS(E_F) ... 2.82 states/eV/f.u.
Crystal system ... hexagonal
Energy of formation from the pure elements ... -0.57 eV/atom

a b c (Å): 7.164 7.164 4.316
angles (deg): 90.00 90.00 120.00
Atoms (fractional coordinates):
Tm 0.000 0.584 0.000
Tm 0.416 0.416 0.000
Tm 0.584 0.000 0.000
Al 0.000 0.236 0.500
Al 0.236 0.000 0.500
Al 0.764 0.764 0.500
Hg 0.333 0.667 0.500
Hg 0.667 0.333 0.500
Au 0.000 0.000 0.000

Entry from Alexandria: a geometry-optimized Y2Al4HgAu3 structure (GGA-PBE).

## Properties
Magnetization ... 0.00 μB per cell
DOS(E_F) ... 4.51 states/eV/f.u.
Crystal system ... tetragonal
Energy of formation from the pure elements ... -0.62 eV/atom

a b c (Å): 4.351 4.351 10.699
angles (deg): 90.00 90.00 90.00
Atoms (fractional coordinates):
Y 0.000 0.500 0.247
Y 0.500 0.000 0.753
Al 0.000 0.000 0.000
Al 0.000 0.500 0.642
Al 0.500 0.000 0.358
Al 0.500 0.500 0.000
Hg 0.000 0.000 0.500
Au 0.000 0.500 0.871
Au 0.500 0.000 0.129
Au 0.500 0.500 0.500

Entry from Alexandria: a geometry-optimized Y2Al3HgAu4 structure (GGA-PBE).

## Properties
Magnetization ... 0.00 μB per cell
DOS(E_F) ... 5.18 states/eV/f.u.
Crystal system ... tetragonal
Energy of formation from the pure elements ... -0.59 eV/atom

a b c (Å): 4.294 4.294 11.249
angles (deg): 90.00 90.00 90.00
Atoms (fractional coordinates):
Y 0.000 0.500 0.242
Y 0.500 0.000 0.758
Al 0.000 0.500 0.875
Al 0.500 0.000 0.125
Al 0.500 0.500 0.500
Hg 0.000 0.000 0.500
Au 0.000 0.000 0.000
Au 0.000 0.500 0.658
Au 0.500 0.000 0.342
Au 0.500 0.500 0.000

Entry from Alexandria: a geometry-optimized ZrAlHgAu structure (GGA-PBE).

## Properties
Magnetization ... 0.00 μB per cell
DOS(E_F) ... 2.08 states/eV/f.u.
Crystal system ... cubic
Energy of formation from the pure elements ... -0.22 eV/atom

a b c (Å): 4.797 4.797 4.797
angles (deg): 60.00 60.00 60.00
Atoms (fractional coordinates):
Zr 0.000 0.000 0.000
Al 0.500 0.500 0.500
Hg 0.750 0.750 0.750
Au 0.250 0.250 0.250

Entry from Alexandria: a geometry-optimized HoAl2Au structure (GGA-PBE).

## Properties
Magnetization ... 0.00 μB per cell
DOS(E_F) ... 2.06 states/eV/f.u.
Crystal system ... trigonal
Energy of formation from the pure elements ... -0.51 eV/atom

a b c (Å): 5.706 5.706 5.706
angles (deg): 44.43 44.43 44.43
Atoms (fractional coordinates):
Ho 0.000 0.000 0.000
Al 0.215 0.215 0.215
Al 0.785 0.785 0.785
Au 0.500 0.500 0.500

Entry from Alexandria: a geometry-optimized Ho2Al5Au3 structure (GGA-PBE).

## Properties
Energy relative to the lowest polymorph listed for this composition ... 11.4 meV per atom
Magnetization ... 0.00 μB per cell
DOS(E_F) ... 3.83 states/eV/f.u.
Crystal system ... orthorhombic
Energy of formation from the pure elements ... -0.65 eV/atom

a b c (Å): 8.609 8.609 8.609
angles (deg): 100.86 93.33 138.90
Atoms (fractional coordinates):
Ho 0.129 0.240 0.370
Ho 0.371 0.740 0.111
Ho 0.629 0.260 0.889
Ho 0.871 0.760 0.630
Al 0.007 0.750 0.257
Al 0.114 0.645 0.759
Al 0.250 0.250 0.000
Al 0.386 0.145 0.531
Al 0.493 0.750 0.743
Al 0.507 0.250 0.257
Al 0.614 0.855 0.469
Al 0.750 0.750 0.000
Al 0.886 0.355 0.241
Al 0.993 0.250 0.743
Au 0.129 0.868 0.998
Au 0.250 0.750 0.500
Au 0.371 0.368 0.739
Au 0.629 0.632 0.261
Au 0.750 0.250 0.500
Au 0.871 0.132 0.002

Entry from Alexandria: a geometry-optimized Ho2Al8Au structure (GGA-PBE).

## Properties
Magnetization ... 0.00 μB per cell
DOS(E_F) ... 4.31 states/eV/f.u.
Crystal system ... tetragonal
Energy of formation from the pure elements ... -0.37 eV/atom

a b c (Å): 4.311 4.311 11.299
angles (deg): 90.00 90.00 90.00
Atoms (fractional coordinates):
Ho 0.000 0.000 0.184
Ho 0.000 0.000 0.816
Al 0.000 0.500 0.000
Al 0.000 0.500 0.368
Al 0.000 0.500 0.632
Al 0.500 0.000 0.000
Al 0.500 0.000 0.368
Al 0.500 0.000 0.632
Al 0.500 0.500 0.193
Al 0.500 0.500 0.807
Au 0.000 0.000 0.500

Entry from Alexandria: a geometry-optimized HoAlAu3 structure (GGA-PBE).

## Properties
Energy relative to the lowest polymorph listed for this composition ... 18.5 meV per atom
Magnetization ... 0.00 μB per cell
DOS(E_F) ... 2.28 states/eV/f.u.
Crystal system ... orthorhombic
Energy of formation from the pure elements ... -0.65 eV/atom

a b c (Å): 8.948 4.729 9.332
angles (deg): 90.00 90.00 90.00
Atoms (fractional coordinates):
Ho 0.234 0.250 0.002
Ho 0.266 0.750 0.502
Ho 0.734 0.250 0.498
Ho 0.766 0.750 0.998
Al 0.100 0.250 0.675
Al 0.400 0.750 0.175
Al 0.600 0.250 0.825
Al 0.900 0.750 0.325
Au 0.068 0.250 0.403
Au 0.109 0.750 0.841
Au 0.114 0.750 0.154
Au 0.386 0.250 0.654
Au 0.391 0.250 0.341
Au 0.432 0.750 0.903
Au 0.568 0.250 0.097
Au 0.609 0.750 0.659
Au 0.614 0.750 0.346
Au 0.886 0.250 0.846
Au 0.891 0.250 0.159
Au 0.932 0.750 0.597

Entry from Alexandria: a geometry-optimized Ho2Al3Au4 structure (GGA-PBE).

## Properties
Energy relative to the lowest polymorph listed for this composition ... 6.9 meV per atom
Magnetization ... 0.00 μB per cell
DOS(E_F) ... 4.30 states/eV/f.u.
Crystal system ... orthorhombic
Energy of formation from the pure elements ... -0.70 eV/atom

a b c (Å): 8.355 8.355 7.700
angles (deg): 90.00 90.00 139.44
Atoms (fractional coordinates):
Ho 0.105 0.895 0.904
Ho 0.395 0.605 0.404
Ho 0.605 0.395 0.596
Ho 0.895 0.105 0.096
Al 0.000 0.000 0.500
Al 0.020 0.480 0.750
Al 0.480 0.020 0.250
Al 0.500 0.500 0.000
Al 0.520 0.980 0.750
Al 0.980 0.520 0.250
Au 0.179 0.821 0.528
Au 0.190 0.310 0.750
Au 0.310 0.190 0.250
Au 0.321 0.679 0.028
Au 0.679 0.321 0.972
Au 0.690 0.810 0.750
Au 0.810 0.690 0.250
Au 0.821 0.179 0.472

Entry from Alexandria: a geometry-optimized Ho3Al2Au7 structure (GGA-PBE).

## Properties
Magnetization ... 0.00 μB per cell
DOS(E_F) ... 3.68 states/eV/f.u.
Crystal system ... tetragonal
Energy of formation from the pure elements ... -0.62 eV/atom

a b c (Å): 14.323 14.323 14.323
angles (deg): 163.07 163.07 24.04
Atoms (fractional coordinates):
Ho 0.000 0.000 0.000
Ho 0.175 0.175 0.000
Ho 0.825 0.825 0.000
Al 0.369 0.369 0.000
Al 0.631 0.631 0.000
Au 0.080 0.580 0.500
Au 0.279 0.279 0.000
Au 0.420 0.920 0.500
Au 0.500 0.500 0.000
Au 0.580 0.080 0.500
Au 0.721 0.721 0.000
Au 0.920 0.420 0.500